# 1
Crystalline Tc2AuCl at its relaxed geometry. Source: Alexandria via LeMat-Bulk, functional PBE.

Properties
Space-group type = Imm2 (44)
Relative energy among the computed polymorphs = 0.530 eV/atom

Cell: 5.839 5.839 5.839 Å, 152.45 132.25 56.01°
Element x y z (fractional)
Tc: 0.000 0.000 0.000
Tc: 0.799 0.299 0.500
Au: 0.264 0.764 0.500
Cl: 0.553 0.553 0.000

***

# 2
Crystalline Ga6Ni3Ru at its relaxed geometry. Source: Alexandria via LeMat-Bulk, functional PBE.

Properties
Formation energy = -26 kJ/mol of atoms
Space-group type = P2_1/c (14)

Cell: 6.705 6.776 6.565 Å, 90.00 104.88 90.00°
Element x y z (fractional)
Ga: 0.095 0.154 0.368
Ga: 0.095 0.346 0.868
Ga: 0.245 0.736 0.971
Ga: 0.245 0.764 0.471
Ga: 0.397 0.140 0.132
Ga: 0.397 0.360 0.632
Ga: 0.603 0.640 0.368
Ga: 0.603 0.860 0.868
Ga: 0.755 0.236 0.529
Ga: 0.755 0.264 0.029
Ga: 0.905 0.654 0.132
Ga: 0.905 0.846 0.632
Ni: 0.259 0.031 0.742
Ni: 0.259 0.469 0.242
Ni: 0.500 0.000 0.500
Ni: 0.500 0.500 0.000
Ni: 0.741 0.531 0.758
Ni: 0.741 0.969 0.258
Ru: 0.000 0.000 0.000
Ru: 0.000 0.500 0.500

***

# 3
Crystalline YSb2TeP at its relaxed geometry. Source: Alexandria via LeMat-Bulk, functional PBE.

Properties
Space-group type = P4/mmm (123)
Relative energy among the computed polymorphs = 0.000 eV/atom

Cell: 5.154 5.154 5.315 Å, 90.00 90.00 90.00°
Element x y z (fractional)
Y: 0.000 0.000 0.000
Sb: 0.000 0.500 0.500
Sb: 0.500 0.000 0.500
Te: 0.500 0.500 0.000
P: 0.500 0.500 0.500

***

# 4
Crystalline ScHPd2Au at its relaxed geometry. Source: Alexandria via LeMat-Bulk, functional PBE.

Properties
Space-group type = P4/mmm (123)
Relative energy among the computed polymorphs = 0.000 eV/atom

Cell: 4.052 4.052 4.264 Å, 90.00 90.00 90.00°
Element x y z (fractional)
Sc: 0.000 0.000 0.000
H: 0.000 0.000 0.500
Pd: 0.000 0.500 0.500
Pd: 0.500 0.000 0.500
Au: 0.500 0.500 0.000

***

# 5
Crystalline Ac3Al8Cd3 at its relaxed geometry. Source: Alexandria via LeMat-Bulk, functional PBE.

Properties
Formation energy = -27 kJ/mol of atoms
Space-group type = C2/m (12)
Relative energy among the computed polymorphs = 0.011 eV/atom

Cell: 8.946 8.946 10.568 Å, 126.11 126.11 29.87°
Element x y z (fractional)
Ac: 0.000 0.000 0.000
Ac: 0.314 0.314 0.315
Ac: 0.686 0.686 0.685
Al: 0.126 0.126 0.848
Al: 0.145 0.145 0.414
Al: 0.337 0.337 0.706
Al: 0.496 0.496 0.716
Al: 0.504 0.504 0.284
Al: 0.663 0.663 0.294
Al: 0.855 0.855 0.586
Al: 0.874 0.874 0.152
Cd: 0.000 0.000 0.500
Cd: 0.332 0.332 0.971
Cd: 0.668 0.668 0.029

***

# 6
Crystalline Ca2MgSiF at its relaxed geometry. Source: Alexandria via LeMat-Bulk, functional PBE.

Properties
Space-group type = P4/mmm (123)
VASP energy = -13.8 eV/f.u.

Cell: 5.911 5.911 4.599 Å, 90.00 90.00 90.00°
Element x y z (fractional)
Ca: 0.000 0.500 0.000
Ca: 0.500 0.000 0.000
Mg: 0.000 0.000 0.000
Si: 0.000 0.000 0.500
F: 0.500 0.500 0.500

***

# 7
Crystalline PIrCl2 at its relaxed geometry. Source: Alexandria via LeMat-Bulk, functional PBE.

Properties
Space-group type = Immm (71)
Relative energy among the computed polymorphs = 1.002 eV/atom

Cell: 7.885 7.885 7.885 Å, 155.72 154.24 35.69°
Element x y z (fractional)
P: 0.000 0.000 0.000
Ir: 0.500 0.500 0.000
Cl: 0.351 0.851 0.500
Cl: 0.649 0.149 0.500

***

# 8
Crystalline NaHgS2O6 at its relaxed geometry. Source: Alexandria via LeMat-Bulk, functional PBE.

Properties
Space-group type = C2/c (15)
VASP energy = -50.9 eV/f.u.

Cell: 7.166 7.166 7.640 Å, 112.69 112.69 90.77°
Element x y z (fractional)
Na: 0.051 0.949 0.750
Na: 0.949 0.051 0.250
Hg: 0.449 0.551 0.750
Hg: 0.551 0.449 0.250
S: 0.120 0.454 0.782
S: 0.454 0.120 0.282
S: 0.546 0.880 0.718
S: 0.880 0.546 0.218
O: 0.009 0.403 0.273
O: 0.035 0.235 0.636
O: 0.205 0.494 0.006
O: 0.235 0.035 0.136
O: 0.403 0.009 0.773
O: 0.494 0.205 0.506
O: 0.506 0.795 0.494
O: 0.597 0.991 0.227
O: 0.765 0.965 0.864
O: 0.795 0.506 0.994
O: 0.965 0.765 0.364
O: 0.991 0.597 0.727